[1]
Material: CsCa2SiIr
Method: DFT, PBE
State: optimized geometry

Volume = 152.62 Å³ per cell
Uncorrected formation energy = -0.19 eV/atom

Unit cell a=5.6917 b=5.6917 c=4.7111 alpha=90.00 beta=90.00 gamma=90.00
Atoms (fractional coordinates):
Ir  0.0000  0.0000  0.0000
Ca  0.5000  0.0000  0.0000
Ca  0.0000  0.5000  0.0000
Cs  0.5000  0.5000  0.5000
Si  0.0000  0.0000  0.5000



[2]
Material: AlTlHg2
Method: DFT, PBE
State: optimized geometry

Volume = 102.25 Å³ per cell
ΔE_f = 0.5 eV per formula unit

Unit cell a=5.0615 b=3.4056 c=5.9318 alpha=89.84 beta=90.00 gamma=90.00
Atoms (fractional coordinates):
Tl  0.0000  0.5007  0.4920
Al  0.5000  0.0014  0.7674
Hg  0.5000  0.0005  0.2712
Hg  0.0000  0.9974  0.9694



[3]
Material: Ho3TlCo
Method: DFT, PBE
State: optimized geometry

Volume = 134.88 Å³ per cell
ΔE to the lowest computed polymorph = 0.0630 eV per atom
ΔE_f = -0.7 eV per formula unit

Unit cell a=5.1284 b=5.1284 c=5.1284 alpha=90.00 beta=90.00 gamma=90.00
Atoms (fractional coordinates):
Ho  0.0000  0.5000  0.0000
Ho  0.0000  0.0000  0.5000
Ho  0.5000  0.0000  0.0000
Co  0.0000  0.0000  0.0000
Tl  0.5000  0.5000  0.5000



[4]
Material: LiZnCrPt
Method: DFT, PBE
State: optimized geometry

Volume = 56.97 Å³ per cell
ΔE_f = -0.8 eV per formula unit

Unit cell a=4.3190 b=4.3190 c=4.3190 alpha=60.00 beta=60.00 gamma=60.00
Atoms (fractional coordinates):
Cr  0.7500  0.7500  0.7500
Zn  0.0000  0.0000  0.0000
Li  0.5000  0.5000  0.5000
Pt  0.2500  0.2500  0.2500



[5]
Material: La6CdCu2
Method: DFT, PBE
State: optimized geometry

Volume = 551.24 Å³ per cell
ΔE_f = -1.1 eV per formula unit

Unit cell a=8.9579 b=8.9579 c=8.9579 alpha=106.17 beta=109.13 gamma=113.20
Atoms (fractional coordinates):
La  0.5369  0.7179  0.8189
La  0.3044  0.9816  0.6772
La  0.6956  0.0184  0.3228
La  0.8990  0.7179  0.1811
La  0.8059  0.7583  0.5642
La  0.1941  0.2417  0.4358
La  0.6956  0.3728  0.6772
La  0.1010  0.2821  0.8189
La  0.4631  0.2821  0.1811
La  0.3044  0.6272  0.3228
La  0.1941  0.7583  0.9523
La  0.8059  0.2417  0.0477
Cu  0.5000  0.6173  0.1173
Cu  0.6481  0.0000  0.6481
Cu  0.5000  0.3827  0.8827
Cu  0.3519  0.0000  0.3519
Cd  0.0000  0.5000  0.5000
Cd  0.0000  0.0000  0.0000



[6]
Material: HoScSb
Method: DFT, PBE
State: optimized geometry

Volume = 175.34 Å³ per cell
Uncorrected formation energy = -0.43 eV/atom

Unit cell a=5.2465 b=5.2465 c=7.9548 alpha=70.75 beta=70.75 gamma=60.00
Atoms (fractional coordinates):
Ho  0.5786  0.5786  0.2641
Ho  0.4214  0.4214  0.7359
Sc  0.1494  0.1494  0.5518
Sc  0.8506  0.8506  0.4482
Sb  0.7224  0.7224  0.8329
Sb  0.2776  0.2776  0.1671



[7]
Material: CaHo5S6
Method: DFT, PBE
State: optimized geometry

Volume = 251.81 Å³ per cell
Uncorrected formation energy = -1.99 eV/atom

Unit cell a=6.7647 b=6.7405 c=6.7561 alpha=60.08 beta=80.46 gamma=70.59
Atoms (fractional coordinates):
S  0.7475  0.0843  0.3347
S  0.2490  0.2517  0.0000
S  0.7510  0.7483  0.0000
S  0.7475  0.4190  0.6653
S  0.2525  0.9157  0.6653
S  0.2525  0.5810  0.3347
Ho  0.5000  0.5000  0.0000
Ho  0.5000  0.1653  0.6693
Ho  0.5000  0.8347  0.3307
Ho  0.0000  0.6673  0.6653
Ho  0.0000  0.3327  0.3347
Ca  0.0000  0.0000  0.0000



[8]
Material: BeTlZn
Method: DFT, PBE
State: optimized geometry

Volume = 54.13 Å³ per cell
ΔE to the lowest computed polymorph = 0.1252 eV per atom
ΔE_f = 1.2 eV per formula unit

Unit cell a=4.2460 b=4.2460 c=4.2460 alpha=60.00 beta=60.00 gamma=60.00
Atoms (fractional coordinates):
Zn  0.5000  0.5000  0.5000
Be  0.2500  0.2500  0.2500
Tl  0.0000  0.0000  0.0000



[9]
Material: Sr2TcIr
Method: DFT, PBE
State: optimized geometry

Volume = 90.61 Å³ per cell
ΔE to the lowest computed polymorph = 0.7536 eV per atom
ΔE_f = 3.6 eV per formula unit

Unit cell a=5.0948 b=5.0948 c=6.0804 alpha=83.68 beta=83.68 gamma=35.31
Atoms (fractional coordinates):
Tc  0.7500  0.7500  0.7500
Ir  0.2500  0.2500  0.2500
Sr  0.5044  0.5044  0.4940
Sr  0.9956  0.9956  0.0060



[10]
Material: Bi2TeN
Method: DFT, PBE
State: optimized geometry

Volume = 95.73 Å³ per cell
Uncorrected formation energy = 1.07 eV/atom
ΔE to the lowest computed polymorph = 0.6404 eV per atom

Unit cell a=5.1348 b=5.1348 c=5.1348 alpha=60.00 beta=60.00 gamma=60.00
Atoms (fractional coordinates):
Bi  0.7500  0.7500  0.7500
Bi  0.2500  0.2500  0.2500
N  0.0000  0.0000  0.0000
Te  0.5000  0.5000  0.5000



[11]
Material: Tm3Cu2Ge4
Method: DFT, PBE
State: optimized geometry

Volume = 170.37 Å³ per cell
ΔE to the lowest computed polymorph = 0.0000 eV per atom
ΔE_f = -5.8 eV per formula unit

Unit cell a=4.1598 b=5.7034 c=8.0929 alpha=106.39 beta=90.00 gamma=111.39
Atoms (fractional coordinates):
Tm  0.6283  0.2566  0.6936
Tm  0.0000  0.0000  0.0000
Tm  0.3717  0.7434  0.3064
Ge  0.0779  0.1559  0.3944
Ge  0.7073  0.4146  0.0723
Ge  0.9221  0.8441  0.6056
Ge  0.2927  0.5854  0.9277
Cu  0.3112  0.6224  0.6323
Cu  0.6888  0.3776  0.3677



[12]
Material: PrNd2I6
Method: DFT, PBE
State: optimized geometry

Volume = 383.69 Å³ per cell
Uncorrected formation energy = -1.30 eV/atom
ΔE to the lowest computed polymorph = 0.0000 eV per atom

Unit cell a=8.1856 b=7.3570 c=7.3570 alpha=120.00 beta=90.00 gamma=90.00
Atoms (fractional coordinates):
Nd  0.5000  0.3333  0.6667
Nd  0.5000  0.6667  0.3333
I  0.7510  0.3354  0.0000
I  0.7510  0.0000  0.3354
I  0.2490  0.6646  0.0000
I  0.2490  0.3354  0.3354
I  0.2490  0.0000  0.6646
I  0.7510  0.6646  0.6646
Pr  0.5000  0.0000  0.0000



Number 1: electronic total energy -4.016 eV/atom. Number 2: electronic total energy -1.541 eV/atom. Number 3: electronic total energy -4.791 eV/atom. Number 4: electronic total energy -4.912 eV/atom. Number 5: electronic total energy -4.421 eV/atom. Number 6: electronic total energy -5.444 eV/atom. Number 7: electronic total energy -6.132 eV/atom. Number 8: electronic total energy -2.053 eV/atom. Number 9: electronic total energy -4.742 eV/atom. Number 10: electronic total energy -3.741 eV/atom. Number 11: electronic total energy -5.096 eV/atom. Number 12: electronic total energy -3.921 eV/atom.